Tb3ScAl8 (PBE, relaxed); offset from the most stable computed form = 0.000 eV per atom
1.0
2.759 1.593 9.062
-2.759 1.593 9.062
0.000 -3.185 9.062
Tb Sc Al
3 1 8
Direct
0.000 0.000 0.000
0.126 0.126 0.126
0.624 0.624 0.624
0.501 0.501 0.501
0.062 0.062 0.561
0.062 0.561 0.062
0.064 0.563 0.563
0.312 0.312 0.312
0.561 0.062 0.062
0.563 0.064 0.563
0.563 0.563 0.064
0.813 0.813 0.813